i.
An optimized crystal structure of Ca3TiBe, computed with PBE-GGA.

The structure in CIF format:
```
data_Ca3TiBe
_cell_length_a 5.443
_cell_length_b 5.443
_cell_length_c 5.443
_cell_angle_alpha 90.00
_cell_angle_beta 90.00
_cell_angle_gamma 90.00
_symmetry_space_group_name_H-M 'P m -3 m'
_symmetry_Int_Tables_number 221
_symmetry_space_group_name_Hall '-P 4 2 3'
loop_
_atom_site_label
_atom_site_fract_x
_atom_site_fract_y
_atom_site_fract_z
_atom_site_occupancy
Ca1 0.000 0.000 0.500 1
Ti1 0.500 0.500 0.500 1
Be1 0.000 0.000 0.000 1
```



ii.
An optimized crystal structure of Ca3TiBe, computed with PBE-GGA.

The structure in CIF format:
```
data_Ca3TiBe
_cell_length_a 5.762
_cell_length_b 5.762
_cell_length_c 5.762
_cell_angle_alpha 90.00
_cell_angle_beta 90.00
_cell_angle_gamma 90.00
_symmetry_space_group_name_H-M 'P m -3 m'
_symmetry_Int_Tables_number 221
_symmetry_space_group_name_Hall '-P 4 2 3'
loop_
_atom_site_label
_atom_site_fract_x
_atom_site_fract_y
_atom_site_fract_z
_atom_site_occupancy
Ca1 0.000 0.000 0.500 1
Ti1 0.000 0.000 0.000 1
Be1 0.500 0.500 0.500 1
```



Of them, i has the highest stability.



i.
An optimized crystal structure of CaBe2Tl, computed with PBE-GGA.

The structure in CIF format:
```
data_CaBe2Tl
_cell_length_a 4.563
_cell_length_b 4.563
_cell_length_c 16.902
_cell_angle_alpha 90.00
_cell_angle_beta 90.00
_cell_angle_gamma 90.00
_symmetry_space_group_name_H-M 'I 41/a m d'
_symmetry_Int_Tables_number 141
loop_
_symmetry_equiv_pos_as_xyz
'x,y,z'
'-x,-y,-z'
'-y+1/4,x+3/4,z+1/4'
'y+1/4,-x+3/4,-z+1/4'
'-x+1/2,-y,z+1/2'
'x+1/2,y,-z+1/2'
'y+1/4,-x+1/4,z+3/4'
'-y+1/4,x+1/4,-z+3/4'
'x,-y,-z'
'-x,y,z'
'-y+1/4,-x+1/4,-z+3/4'
'y+1/4,x+1/4,z+3/4'
'-x+1/2,y,-z+1/2'
'x+1/2,-y,z+1/2'
'y+1/4,x+3/4,-z+1/4'
'-y+1/4,-x+3/4,z+1/4'
'x+1/2,y+1/2,z+1/2'
'-x+1/2,-y+1/2,-z+1/2'
'-y+3/4,x+1/4,z+3/4'
'y+3/4,-x+1/4,-z+3/4'
'-x,-y+1/2,z'
'x,y+1/2,-z'
'y+3/4,-x+3/4,z+1/4'
'-y+3/4,x+3/4,-z+1/4'
'x+1/2,-y+1/2,-z+1/2'
'-x+1/2,y+1/2,z+1/2'
'-y+3/4,-x+3/4,-z+1/4'
'y+3/4,x+3/4,z+1/4'
'-x,y+1/2,-z'
'x,-y+1/2,z'
'y+3/4,x+1/4,-z+3/4'
'-y+3/4,-x+1/4,z+3/4'
loop_
_atom_site_label
_atom_site_fract_x
_atom_site_fract_y
_atom_site_fract_z
_atom_site_occupancy
Ca1 0.000 0.250 0.375 1
Be1 0.000 0.000 0.000 1
Tl1 0.000 0.250 0.875 1
```



ii.
An optimized crystal structure of CaBe2Tl, computed with PBE-GGA.

The structure in CIF format:
```
data_CaBe2Tl
_cell_length_a 3.702
_cell_length_b 4.298
_cell_length_c 5.148
_cell_angle_alpha 90.00
_cell_angle_beta 90.00
_cell_angle_gamma 90.00
_symmetry_space_group_name_H-M 'P m m m'
_symmetry_Int_Tables_number 47
loop_
_symmetry_equiv_pos_as_xyz
'x,y,z'
'-x,-y,-z'
'-x,-y,z'
'x,y,-z'
'x,-y,-z'
'-x,y,z'
'-x,y,-z'
'x,-y,z'
loop_
_atom_site_label
_atom_site_fract_x
_atom_site_fract_y
_atom_site_fract_z
_atom_site_occupancy
Ca1 0.000 0.000 0.000 1
Be1 0.500 0.500 0.232 1
Tl1 0.500 0.000 0.500 1
```



Of them, ii has the highest stability.



i.
An optimized crystal structure of CaBe3Tl, computed with PBE-GGA.

The structure in CIF format:
```
data_CaBe3Tl
_cell_length_a 5.340
_cell_length_b 5.340
_cell_length_c 5.340
_cell_angle_alpha 90.00
_cell_angle_beta 90.00
_cell_angle_gamma 90.00
_symmetry_space_group_name_H-M 'P m -3 m'
_symmetry_Int_Tables_number 221
_symmetry_space_group_name_Hall '-P 4 2 3'
loop_
_atom_site_label
_atom_site_fract_x
_atom_site_fract_y
_atom_site_fract_z
_atom_site_occupancy
Ca1 0.000 0.000 0.000 1
Be1 0.000 0.000 0.500 1
Tl1 0.500 0.500 0.500 1
```



ii.
An optimized crystal structure of CaBe3Tl, computed with PBE-GGA.

The structure in CIF format:
```
data_CaBe3Tl
_cell_length_a 4.631
_cell_length_b 4.631
_cell_length_c 4.631
_cell_angle_alpha 90.00
_cell_angle_beta 90.00
_cell_angle_gamma 90.00
_symmetry_space_group_name_H-M 'P m -3 m'
_symmetry_Int_Tables_number 221
_symmetry_space_group_name_Hall '-P 4 2 3'
loop_
_atom_site_label
_atom_site_fract_x
_atom_site_fract_y
_atom_site_fract_z
_atom_site_occupancy
Ca1 0.000 0.000 0.000 1
Be1 0.000 0.500 0.500 1
Tl1 0.500 0.500 0.500 1
```



Of them, ii has the highest stability.



i.
An optimized crystal structure of CaBeTl3, computed with PBE-GGA.

The structure in CIF format:
```
data_CaBeTl3
_cell_length_a 6.026
_cell_length_b 6.026
_cell_length_c 6.026
_cell_angle_alpha 90.00
_cell_angle_beta 90.00
_cell_angle_gamma 90.00
_symmetry_space_group_name_H-M 'P m -3 m'
_symmetry_Int_Tables_number 221
_symmetry_space_group_name_Hall '-P 4 2 3'
loop_
_atom_site_label
_atom_site_fract_x
_atom_site_fract_y
_atom_site_fract_z
_atom_site_occupancy
Ca1 0.000 0.000 0.000 1
Be1 0.500 0.500 0.500 1
Tl1 0.000 0.000 0.500 1
```



ii.
An optimized crystal structure of CaBeTl3, computed with PBE-GGA.

The structure in CIF format:
```
data_CaBeTl3
_cell_length_a 5.104
_cell_length_b 5.104
_cell_length_c 5.104
_cell_angle_alpha 90.00
_cell_angle_beta 90.00
_cell_angle_gamma 90.00
_symmetry_space_group_name_H-M 'P m -3 m'
_symmetry_Int_Tables_number 221
_symmetry_space_group_name_Hall '-P 4 2 3'
loop_
_atom_site_label
_atom_site_fract_x
_atom_site_fract_y
_atom_site_fract_z
_atom_site_occupancy
Ca1 0.000 0.000 0.000 1
Be1 0.500 0.500 0.500 1
Tl1 0.000 0.500 0.500 1
```



Of them, ii has the highest stability.



i.
An optimized crystal structure of CaBeV3, computed with PBE-GGA.

The structure in CIF format:
```
data_CaBeV3
_cell_length_a 4.381
_cell_length_b 4.381
_cell_length_c 4.381
_cell_angle_alpha 90.00
_cell_angle_beta 90.00
_cell_angle_gamma 90.00
_symmetry_space_group_name_H-M 'P m -3 m'
_symmetry_Int_Tables_number 221
_symmetry_space_group_name_Hall '-P 4 2 3'
loop_
_atom_site_label
_atom_site_fract_x
_atom_site_fract_y
_atom_site_fract_z
_atom_site_occupancy
Ca1 0.000 0.000 0.000 1
Be1 0.500 0.500 0.500 1
V1 0.000 0.500 0.500 1
```



ii.
An optimized crystal structure of CaBeV3, computed with PBE-GGA.

The structure in CIF format:
```
data_CaBeV3
_cell_length_a 4.295
_cell_length_b 4.295
_cell_length_c 4.295
_cell_angle_alpha 90.00
_cell_angle_beta 90.00
_cell_angle_gamma 90.00
_symmetry_space_group_name_H-M 'P m -3 m'
_symmetry_Int_Tables_number 221
_symmetry_space_group_name_Hall '-P 4 2 3'
loop_
_atom_site_label
_atom_site_fract_x
_atom_site_fract_y
_atom_site_fract_z
_atom_site_occupancy
Ca1 0.000 0.000 0.000 1
Be1 0.500 0.500 0.500 1
V1 0.000 0.000 0.500 1
```



Of them, i has the highest stability.



i.
An optimized crystal structure of CaBe3V, computed with PBE-GGA.

The structure in CIF format:
```
data_CaBe3V
_cell_length_a 4.658
_cell_length_b 4.658
_cell_length_c 4.658
_cell_angle_alpha 90.00
_cell_angle_beta 90.00
_cell_angle_gamma 90.00
_symmetry_space_group_name_H-M 'P m -3 m'
_symmetry_Int_Tables_number 221
_symmetry_space_group_name_Hall '-P 4 2 3'
loop_
_atom_site_label
_atom_site_fract_x
_atom_site_fract_y
_atom_site_fract_z
_atom_site_occupancy
Ca1 0.000 0.000 0.000 1
Be1 0.000 0.000 0.500 1
V1 0.500 0.500 0.500 1
```



ii.
An optimized crystal structure of CaBe3V, computed with PBE-GGA.

The structure in CIF format:
```
data_CaBe3V
_cell_length_a 4.465
_cell_length_b 4.465
_cell_length_c 4.465
_cell_angle_alpha 90.00
_cell_angle_beta 90.00
_cell_angle_gamma 90.00
_symmetry_space_group_name_H-M 'P m -3 m'
_symmetry_Int_Tables_number 221
_symmetry_space_group_name_Hall '-P 4 2 3'
loop_
_atom_site_label
_atom_site_fract_x
_atom_site_fract_y
_atom_site_fract_z
_atom_site_occupancy
Ca1 0.000 0.000 0.000 1
Be1 0.000 0.500 0.500 1
V1 0.500 0.500 0.500 1
```



Of them, ii has the highest stability.